A plane-wave DFT calculation with GGA-PBE was carried out for an optimized crystal structure of BaCaSc2B.

a = 5.560 Å, b = 5.560 Å, c = 4.995 Å
α = 90.00°, β = 90.00°, γ = 90.00°
Element x y z (fractional)
Ba: 0.000 0.000 0.000
Ca: 0.500 0.500 0.500
Sc: 0.000 0.500 0.000
Sc: 0.500 0.000 0.000
B: 0.000 0.000 0.500

Summary:
* E above lowest polymorph: 0 meV/atom
* crystal system: tetragonal
* formation enthalpy at 0 K: 710 kJ/mol of formula units
* M_tot: 0.0 μB per cell
* DOS(E_F): 1.14 states/eV per atom
* energy: -3.18 eV/atom